(A)
GGA-PBE ScV3S, relaxed; D(E_F) = 4.95 states/eV per cell
1.0
-3.9758 0.0985 1.7823
-0.3216 -4.3198 -0.4787
1.7558 -0.5683 3.9481
Sc S V
1 1 3
Cartesian
-1.2708 -2.3948 2.6258 Sc
0.0000 0.0000 0.0000 S
-0.1608 -2.1599 -0.2394 V
0.8779 -0.2841 1.9741 V
-1.9879 0.0493 0.8911 V

(B)
GGA-PBE ScV3S, relaxed; D(E_F) = 8.42 states/eV per cell
1.0
-3.2694 2.4879 1.8434
0.9956 -1.6938 4.0517
2.9320 3.3493 0.6797
Sc S V
1 1 3
Cartesian
0.0000 0.0000 0.0000 Sc
0.3291 2.0717 3.2874 S
0.4978 -0.8469 2.0259 V
1.4660 1.6747 0.3398 V
-1.6347 1.2440 0.9217 V

Out of the structures above, which one is the most stable? Solution: (A).